# SrAgPt2

SrAgPt2 at its PBEsol-relaxed geometry (meta-GGA SCAN, Alexandria).

Output
- calculated formation energy (eV/atom) = -0.19
- calculated total energy (eV/cell) = -194.807

Structure (CIF):
```
data_SrAgPt2
_cell_length_a 3.2361
_cell_length_b 3.2361
_cell_length_c 7.2911
_cell_angle_alpha 90.00
_cell_angle_beta 90.00
_cell_angle_gamma 90.00
_space_group_name_H-M_alt 'P 4/m m m'
_space_group_IT_number 123
_space_group_name_Hall '-P 4 2'
loop_
_atom_site_label
_atom_site_type_symbol
_atom_site_fract_x
_atom_site_fract_y
_atom_site_fract_z
Sr1 Sr 0.0000 0.0000 0.0000
Ag1 Ag 0.0000 0.0000 0.5000
Pt1 Pt 0.5000 0.5000 0.2894
```

=====

# SrAgPt

SrAgPt at its PBEsol-relaxed geometry (meta-GGA SCAN, Alexandria).

Output
- calculated formation energy (eV/atom) = -0.31
- calculated total energy (eV/cell) = -249.558

Structure (CIF):
```
data_SrAgPt
_cell_length_a 3.6290
_cell_length_b 3.6290
_cell_length_c 10.0373
_cell_angle_alpha 90.00
_cell_angle_beta 90.00
_cell_angle_gamma 90.00
_space_group_name_H-M_alt 'I 4 m m'
_space_group_IT_number 107
_space_group_name_Hall 'I 4 -2'
loop_
_atom_site_label
_atom_site_type_symbol
_atom_site_fract_x
_atom_site_fract_y
_atom_site_fract_z
Sr1 Sr 0.0000 0.0000 0.0000
Ag1 Ag 0.0000 0.0000 0.2952
Pt1 Pt 0.0000 0.0000 0.6891
```